Density functional theory data (PBE-GGA) for BH6Br3 after structural relaxation.

Calculated values
DOS at the Fermi energy = 0.0 states/eV per cell
E = -3.131 eV/atom
Spin magnetization = 0.000 μB/f.u.

a = 4.814 Å, b = 5.294 Å, c = 13.179 Å
α = 90.00°, β = 95.82°, γ = 90.00°
Space group P2_1/c (No. 14)
Asymmetric unit:
B: 0.000 0.000 0.000 x2
H: 0.062 0.072 0.244 x4
H: 0.166 0.659 0.474 x4
H: 0.179 0.169 0.999 x4
Br: 0.206 0.618 0.687 x4
Br: 0.500 0.000 0.500 x2